DFT (PBE-GGA) results for a relaxed structure of LiPH.

## Properties
- SG: P1, No. 1
- Relative energy among the computed polymorphs: 0.012 eV per atom
- VASP energy: -3.87 eV/atom
- N(E_F): 0.000 states/eV per atom
- M_tot: 0.000 μB/atom

Cell: 4.309 4.738 5.251 Å, 94.99 109.09 115.73°
Atoms (fractional coordinates):
Li: 0.062 0.250 0.875
Li: 0.151 0.704 0.530
P: 0.997 0.756 0.025
P: 0.528 0.355 0.656
H: 0.323 0.748 0.005
H: 0.530 0.502 0.426